# 1
Density functional theory data (GGA-PBE) for an optimized crystal structure of CaCd2InO.

Cell lengths 5.7473, 4.1450, 5.7473 Å; angles 90.00, 90.00, 90.00 degrees
Sites, in units of the cell vectors:
O (0.0000, 0.5000, 0.0000)
Cd (0.5000, 0.0000, 0.0000)
Cd (0.0000, 0.0000, 0.5000)
In (0.0000, 0.0000, 0.0000)
Ca (0.5000, 0.5000, 0.5000)

Summary:
The raw total energy is -12.4 eV per formula unit.

# 2
Density functional theory data (GGA-PBE) for an optimized crystal structure of Sr2Zn3PtAu12.

Cell lengths 10.2672, 10.2672, 10.2672 Å; angles 40.18, 40.18, 40.18 degrees
Sites, in units of the cell vectors:
Au (0.4113, 0.4113, 0.8131)
Au (0.1869, 0.5887, 0.5887)
Au (0.0721, 0.0721, 0.6431)
Au (0.5887, 0.5887, 0.1869)
Pt (0.0000, 0.0000, 0.0000)
Au (0.6431, 0.0721, 0.0721)
Au (0.9279, 0.9279, 0.3569)
Au (0.3569, 0.9279, 0.9279)
Zn (0.5000, 0.0000, 0.0000)
Zn (0.0000, 0.0000, 0.5000)
Au (0.8131, 0.4113, 0.4113)
Sr (0.6506, 0.6506, 0.6506)
Au (0.9279, 0.3569, 0.9279)
Au (0.4113, 0.8131, 0.4113)
Au (0.5887, 0.1869, 0.5887)
Au (0.0721, 0.6431, 0.0721)
Sr (0.3494, 0.3494, 0.3494)
Zn (0.0000, 0.5000, 0.0000)

Summary:
The raw total energy is -56.0 eV per formula unit. Its energy of formation from the pure elements is -0.1924 eV/atom.

# 3
Density functional theory data (GGA-PBE) for an optimized crystal structure of Ho3Ga9Ru2.

Cell lengths 4.2501, 8.0980, 8.0980 Å; angles 71.32, 74.79, 74.79 degrees
Sites, in units of the cell vectors:
Ho (0.6988, 0.3012, 0.3012)
Ho (0.3012, 0.6988, 0.6988)
Ga (0.8677, 0.4156, 0.8490)
Ga (0.1323, 0.5844, 0.1510)
Ga (0.6532, 0.7113, 0.9823)
Ho (0.0000, 0.0000, 0.0000)
Ga (0.0000, 0.5000, 0.5000)
Ru (0.5000, 0.6739, 0.3261)
Ga (0.8677, 0.8490, 0.4156)
Ru (0.5000, 0.3261, 0.6739)
Ga (0.3468, 0.2887, 0.0177)
Ga (0.1323, 0.1510, 0.5844)
Ga (0.6532, 0.9823, 0.7113)
Ga (0.3468, 0.0177, 0.2887)

Summary:
The raw total energy is -67.5 eV per formula unit. Its energy of formation from the pure elements is -0.5715 eV/atom.

# 4
Density functional theory data (GGA-PBE) for an optimized crystal structure of PmBiPtO6.

Cell lengths 5.6582, 5.6582, 9.2298 Å; angles 90.00, 90.00, 120.00 degrees
Sites, in units of the cell vectors:
O (0.3682, 0.0421, 0.1271)
O (0.9579, 0.6318, 0.3729)
O (0.0421, 0.3682, 0.6271)
O (0.6739, 0.0421, 0.3729)
Bi (0.0000, 0.0000, 0.0000)
O (0.0421, 0.6739, 0.8729)
O (0.6318, 0.6739, 0.6271)
O (0.3682, 0.3261, 0.3729)
O (0.3261, 0.9579, 0.6271)
O (0.6318, 0.9579, 0.8729)
Bi (0.0000, 0.0000, 0.5000)
O (0.3261, 0.3682, 0.8729)
O (0.9579, 0.3261, 0.1271)
Pt (0.6667, 0.3333, 0.2500)
O (0.6739, 0.6318, 0.1271)
Pm (0.3333, 0.6667, 0.2500)
Pt (0.3333, 0.6667, 0.7500)
Pm (0.6667, 0.3333, 0.7500)

Summary:
The raw total energy is -56.5 eV per formula unit.

# 5
Density functional theory data (GGA-PBE) for an optimized crystal structure of Mg3CdHg2.

Cell lengths 3.5961, 3.5961, 9.9637 Å; angles 90.00, 90.00, 90.00 degrees
Sites, in units of the cell vectors:
Mg (0.0000, 0.0000, 0.3296)
Mg (0.0000, 0.0000, 0.6704)
Hg (0.5000, 0.5000, 0.1681)
Mg (0.0000, 0.0000, 0.0000)
Cd (0.5000, 0.5000, 0.5000)
Hg (0.5000, 0.5000, 0.8319)

Summary:
The raw total energy is -7.4 eV per formula unit. The relative energy among the computed polymorphs is 0.08 eV per formula unit. Its energy of formation from the pure elements is -0.1777 eV/atom.

# 6
Density functional theory data (GGA-PBE) for an optimized crystal structure of Sm2TiHg.

Cell lengths 3.3280, 3.3280, 11.4874 Å; angles 81.67, 81.67, 60.00 degrees
Sites, in units of the cell vectors:
Hg (0.5000, 0.5000, 0.5000)
Sm (0.0875, 0.0875, 0.7375)
Ti (0.0000, 0.0000, 0.0000)
Sm (0.9125, 0.9125, 0.2625)

Summary:
The raw total energy is -16.3 eV per formula unit. The relative energy among the computed polymorphs is 1.55 eV per formula unit. Its energy of formation from the pure elements is 0.3261 eV/atom.

# 7
Density functional theory data (GGA-PBE) for an optimized crystal structure of MnZn2Re.

Cell lengths 5.0847, 5.0351, 2.6061 Å; angles 80.08, 80.16, 116.81 degrees
Sites, in units of the cell vectors:
Re (0.5000, 0.0000, 0.5000)
Mn (0.5000, 0.5000, 0.0000)
Zn (0.0000, 0.5000, 0.5000)
Zn (0.0000, 0.0000, 0.0000)

Summary:
The raw total energy is -23.4 eV per formula unit. The relative energy among the computed polymorphs is 0.51 eV per formula unit. Its energy of formation from the pure elements is 0.1835 eV/atom.

# 8
Density functional theory data (GGA-PBE) for an optimized crystal structure of RbBa2Ir.

Cell lengths 4.5959, 4.5959, 12.5810 Å; angles 79.48, 79.48, 60.00 degrees
Sites, in units of the cell vectors:
Ba (0.8767, 0.8767, 0.3698)
Ba (0.1233, 0.1233, 0.6302)
Rb (0.0000, 0.0000, 0.0000)
Ir (0.5000, 0.5000, 0.5000)

Summary:
The raw total energy is -13.7 eV per formula unit. The relative energy among the computed polymorphs is 0.00 eV per formula unit. Its energy of formation from the pure elements is -0.0115 eV/atom.

# 9
Density functional theory data (GGA-PBE) for an optimized crystal structure of AcMgAl3Cu.

Cell lengths 6.6549, 6.0215, 7.3003 Å; angles 114.36, 90.00, 90.00 degrees
Sites, in units of the cell vectors:
Cu (0.2500, 0.9326, 0.8652)
Al (0.5000, 0.2723, 0.0000)
Mg (0.2500, 0.3522, 0.7044)
Ac (0.2500, 0.7108, 0.4216)
Al (0.5000, 0.7277, 0.0000)
Al (0.7500, 0.8768, 0.7535)
Mg (0.7500, 0.6478, 0.2956)
Al (0.0000, 0.7277, 0.0000)
Cu (0.7500, 0.0674, 0.1348)
Al (0.0000, 0.2723, 0.0000)
Ac (0.7500, 0.2892, 0.5784)
Al (0.2500, 0.1232, 0.2465)

Summary:
The raw total energy is -21.5 eV per formula unit. Its energy of formation from the pure elements is -0.0789 eV/atom.

# 10
Density functional theory data (GGA-PBE) for an optimized crystal structure of NiHgRh2.

Cell lengths 4.7401, 4.7401, 2.8753 Å; angles 90.00, 90.00, 108.62 degrees
Sites, in units of the cell vectors:
Rh (0.0000, 0.0000, 0.0000)
Rh (0.5000, 0.5000, 0.0000)
Ni (0.0000, 0.5000, 0.5000)
Hg (0.5000, 0.0000, 0.5000)

Summary:
The raw total energy is -19.6 eV per formula unit. Its energy of formation from the pure elements is 0.3066 eV/atom.

# 11
Density functional theory data (GGA-PBE) for an optimized crystal structure of PmThZnN3.

Cell lengths 3.5338, 7.5465, 7.3061 Å; angles 96.88, 90.00, 90.00 degrees
Sites, in units of the cell vectors:
N (0.7500, 0.1868, 0.4752)
N (0.2500, 0.1376, 0.8649)
N (0.2500, 0.8132, 0.5248)
Pm (0.7500, 0.8319, 0.8036)
Th (0.2500, 0.6418, 0.1857)
N (0.7500, 0.8624, 0.1351)
N (0.7500, 0.4124, 0.1403)
N (0.2500, 0.5876, 0.8597)
Pm (0.2500, 0.1681, 0.1964)
Zn (0.7500, 0.9077, 0.4101)
Th (0.7500, 0.3582, 0.8143)
Zn (0.2500, 0.0923, 0.5899)

Summary:
The raw total energy is -44.2 eV per formula unit.

# 12
Density functional theory data (GGA-PBE) for an optimized crystal structure of LaErTh2Bi4.

Cell lengths 4.5923, 7.9420, 7.9450 Å; angles 109.56, 90.00, 90.00 degrees
Sites, in units of the cell vectors:
Th (0.5000, 0.0000, 0.5000)
Bi (0.0000, 0.2584, 0.7558)
Bi (0.5000, 0.7439, 0.7508)
Er (0.5000, 0.5000, 0.0000)
Th (0.0000, 0.5000, 0.5000)
La (0.0000, 0.0000, 0.0000)
Bi (0.5000, 0.2561, 0.2492)
Bi (0.0000, 0.7416, 0.2442)

Summary:
The raw total energy is -45.8 eV per formula unit. Its energy of formation from the pure elements is -0.7429 eV/atom.

Q: What is the raw total energy in the fifth record?
A: -7.4 eV per formula unit

Q: Which value of raw total energy does entry 12 give?
A: -45.8 eV per formula unit

Q: Number 10 is which compound?
A: NiHgRh2